(1)
Entry from Alexandria: a geometry-optimized Sc2GaAgS structure (PBE).

Geometry as POSCAR:
```
Sc2GaAgS
1.0
-1.369 2.317 3.986
3.173 -2.405 2.487
3.270 3.419 -0.864
Ga S Ag Sc
1 1 1 2
Direct
0.500 0.500 0.500 Ga
0.000 0.000 0.000 S
0.000 0.500 0.000 Ag
0.000 0.000 0.500 Sc
0.500 0.000 0.000 Sc
```

Properties
SG	No. 123
DFT total energy	-0.1837	hartree per atom
ρ	4.581	g/cm³

---

(2)
Entry from Alexandria: a geometry-optimized GaSiAgS4 structure (PBE).

Geometry as POSCAR:
```
GaSiAgS4
1.0
5.762 0.000 0.000
0.000 5.762 0.000
-2.881 -2.881 4.787
Si S Ag Ga
1 4 1 1
Direct
0.250 0.750 0.500 Si
0.892 0.429 0.278 S
0.571 0.615 0.722 S
0.151 0.108 0.722 S
0.385 0.849 0.278 S
0.000 0.000 0.000 Ag
0.500 0.500 0.000 Ga
```

Properties
SG	No. 82
DFT total energy	-0.1669	hartree per atom
ρ	3.489	g/cm³

---

(3)
Entry from Alexandria: a geometry-optimized GaSiAg2S4 structure (PBE).

Geometry as POSCAR:
```
GaSiAg2S4
1.0
-5.648 -0.892 -0.205
0.903 -5.638 -0.358
2.229 2.892 5.821
S Ag Ga Si
4 2 1 1
Direct
0.402 0.837 0.245 S
0.843 0.408 0.245 S
0.635 0.629 0.698 S
0.063 0.070 0.699 S
0.236 0.236 0.472 Ag
0.486 0.986 0.972 Ag
0.986 0.486 0.972 Ga
0.736 0.736 0.472 Si
```

Properties
SG	No. 82
DFT total energy	-0.1530	hartree per atom
ρ	4.035	g/cm³

---

(4)
Entry from Alexandria: a geometry-optimized Ga2SiAgS6 structure (PBE).

Geometry as POSCAR:
```
Ga2SiAgS6
1.0
6.299 0.602 0.625
2.776 9.466 0.358
2.776 0.007 9.473
S Ga Si Ag
12 4 2 2
Direct
0.555 0.141 0.608 S
0.055 0.608 0.141 S
0.319 0.196 0.007 S
0.460 0.543 0.686 S
0.040 0.314 0.457 S
0.960 0.686 0.543 S
0.819 0.007 0.196 S
0.181 0.993 0.804 S
0.681 0.804 0.993 S
0.540 0.457 0.314 S
0.445 0.859 0.392 S
0.945 0.392 0.859 S
0.630 0.343 0.519 Ga
0.870 0.481 0.657 Ga
0.130 0.519 0.343 Ga
0.370 0.657 0.481 Ga
0.250 0.189 0.811 Si
0.750 0.811 0.189 Si
0.250 0.935 0.065 Ag
0.750 0.065 0.935 Ag
```

Properties
SG	No. 15
DFT total energy	-0.1597	hartree per atom
ρ	2.914	g/cm³

---

(5)
Entry from Alexandria: a geometry-optimized SmGaAg2S4 structure (PBE).

Geometry as POSCAR:
```
SmGaAg2S4
1.0
7.913 0.026 -0.176
0.020 7.913 -0.176
-4.041 -4.044 5.520
Ga Sm S Ag
2 2 8 4
Direct
0.500 0.500 0.500 Ga
0.000 0.000 0.000 Ga
0.000 0.500 0.500 Sm
0.000 0.500 0.000 Sm
0.702 0.706 0.475 S
0.280 0.729 0.511 S
0.229 0.780 0.011 S
0.794 0.798 0.025 S
0.720 0.271 0.489 S
0.771 0.220 0.989 S
0.298 0.294 0.525 S
0.206 0.202 0.975 S
0.500 0.000 0.000 Ag
0.500 0.500 0.000 Ag
0.000 0.000 0.500 Ag
0.500 0.000 0.500 Ag
```

Properties
SG	No. 15
DFT total energy	-0.1645	hartree per atom
ρ	5.601	g/cm³

---

(6)
Entry from Alexandria: a geometry-optimized GaAg2SnS4 structure (PBE).

Geometry as POSCAR:
```
GaAg2SnS4
1.0
5.860 0.001 -0.003
0.000 5.861 -0.003
-2.927 -2.929 5.722
Ag Sn S Ga
2 1 4 1
Direct
0.486 0.986 0.972 Ag
0.236 0.236 0.472 Ag
0.736 0.736 0.472 Sn
0.875 0.366 0.202 S
0.635 0.597 0.741 S
0.106 0.145 0.741 S
0.327 0.836 0.202 S
0.986 0.486 0.972 Ga
```

Properties
SG	No. 82
DFT total energy	-0.1465	hartree per atom
ρ	4.501	g/cm³

---

(7)
Entry from Alexandria: a geometry-optimized Ta2GaAgS structure (PBE).

Geometry as POSCAR:
```
Ta2GaAgS
1.0
-3.503 -1.816 2.226
2.498 -4.030 0.643
1.631 1.633 3.899
Ag S Ga Ta
1 1 1 2
Direct
0.500 0.500 0.500 Ag
0.000 0.000 0.000 S
0.000 0.500 0.000 Ga
0.500 0.000 0.000 Ta
0.000 0.000 0.500 Ta
```

Properties
SG	No. 123
DFT total energy	-0.2261	hartree per atom
ρ	9.664	g/cm³

---

(8)
Entry from Alexandria: a geometry-optimized Tb3GaAg3S8 structure (PBE).

Geometry as POSCAR:
```
Tb3GaAg3S8
1.0
7.929 0.000 0.000
-3.965 6.853 -0.058
0.000 -4.581 6.175
Tb S Ga Ag
3 8 1 3
Direct
0.500 0.000 0.500 Tb
0.000 0.500 0.500 Tb
0.500 0.500 0.500 Tb
0.770 0.995 0.268 S
0.230 0.005 0.732 S
0.747 0.493 0.737 S
0.253 0.507 0.263 S
0.229 0.458 0.731 S
0.775 0.005 0.732 S
0.771 0.542 0.269 S
0.225 0.995 0.268 S
0.000 0.000 0.500 Ga
0.000 0.000 0.000 Ag
0.000 0.500 0.000 Ag
0.500 0.500 0.000 Ag
```

Properties
SG	No. 12
DFT total energy	-0.1819	hartree per atom
ρ	5.611	g/cm³

---

The evaluated volume for the records listed, in turn: 21.716, 22.702, 22.727, 26.661, 20.903, 24.555, 19.642, 22.229 Å³ per atom.
The evaluated formation energy without anion corrections for the records listed, in turn: -0.465, -0.568, -0.330, -0.437, -0.732, -0.330, 0.589, -1.051 eV/atom.